# 1
# PuAgSnPd

An optimized crystal structure of PuAgSnPd (PBE, the Alexandria database).

Calculated volume   85.0 Å³ per cell
Total magnetization   5.3 μB per cell
Calculated formation energy   -6.7 kcal/mol of atoms
Fermi-level density of states   14.72 states/eV/cell

a = 4.934 Å, b = 4.934 Å, c = 4.934 Å
α = 60.00°, β = 60.00°, γ = 60.00°
Each line ends with the local moment (μB).
Element x y z (fractional)
Pd  0.750  0.750  0.750  -0.05
Sn  0.500  0.500  0.500  -0.03
Ag  0.250  0.250  0.250  0.02
Pu  0.000  0.000  0.000  5.19

***

# 2
# PaTl2In

An optimized crystal structure of PaTl2In (PBE, the Alexandria database).

Calculated volume   113.6 Å³ per cell
Relative energy among the computed polymorphs   268.8 meV per atom
Total magnetization   0.3 μB per cell
Calculated formation energy   7.1 kcal/mol of atoms
Fermi-level density of states   5.78 states/eV/cell

a = 3.282 Å, b = 3.282 Å, c = 12.326 Å
α = 82.35°, β = 82.35°, γ = 60.00°
Each line ends with the local moment (μB).
Element x y z (fractional)
Tl  0.088  0.088  0.735  0.00
Tl  0.912  0.912  0.265  0.00
Pa  0.000  0.000  0.000  0.22
In  0.500  0.500  0.500  0.00

***

# 3
# CeSm2Cr2C4

An optimized crystal structure of CeSm2Cr2C4 (PBE, the Alexandria database).

Calculated volume   132.3 Å³ per cell
Total magnetization   0.0 μB per cell
Calculated formation energy   -1.5 kcal/mol of atoms
Fermi-level density of states   7.70 states/eV/cell

a = 3.484 Å, b = 6.939 Å, c = 6.031 Å
α = 109.70°, β = 90.00°, γ = 104.54°
Element x y z (fractional)
Ce  0.000  0.000  0.000
Sm  0.866  0.731  0.461
Sm  0.134  0.269  0.539
Cr  0.318  0.636  0.007
Cr  0.682  0.364  0.993
C  0.784  0.568  0.826
C  0.216  0.432  0.174
C  0.452  0.904  0.243
C  0.548  0.096  0.757

***

# 4
# Hg7Te6

An optimized crystal structure of Hg7Te6 (PBE, the Alexandria database).

Calculated volume   421.9 Å³ per cell
Total magnetization   0.0 μB per cell
Raw formation energy   0.0847 eV/atom
Fermi-level density of states   8.11 states/eV/cell

a = 9.815 Å, b = 9.815 Å, c = 9.815 Å
α = 44.47°, β = 44.47°, γ = 44.47°
Element x y z (fractional)
Te  0.947  0.947  0.947
Te  0.053  0.053  0.053
Te  0.822  0.822  0.822
Te  0.178  0.178  0.178
Te  0.657  0.657  0.657
Te  0.343  0.343  0.343
Hg  0.933  0.415  0.415
Hg  0.415  0.415  0.933
Hg  0.415  0.933  0.415
Hg  0.067  0.585  0.585
Hg  0.585  0.067  0.585
Hg  0.585  0.585  0.067
Hg  0.500  0.500  0.500

***

# 5
# FeNiSn2

An optimized crystal structure of FeNiSn2 (PBE, the Alexandria database).

Calculated volume   78.6 Å³ per cell
Relative energy among the computed polymorphs   232.1 meV per atom
Total magnetization   2.9 μB per cell
Calculated formation energy   9.4 kcal/mol of atoms
Fermi-level density of states   3.81 states/eV/cell

a = 3.157 Å, b = 3.157 Å, c = 9.282 Å
α = 80.21°, β = 80.21°, γ = 60.00°
Each line ends with the local moment (μB).
Element x y z (fractional)
Ni  0.500  0.500  0.500  -0.03
Sn  0.096  0.096  0.711  -0.02
Sn  0.904  0.904  0.289  -0.02
Fe  0.000  0.000  0.000  2.98